(1)
{"formula": "CaCeGaN3", "functional": "PBE-GGA", "state": "optimized geometry", "lattice": [[3.5389, 0.0000, 0.0000], [0.0000, 7.0123, 0.1726], [0.0000, -1.7665, 8.2621]], "species": ["N", "N", "N", "N", "N", "N", "Ga", "Ga", "Ce", "Ce", "Ca", "Ca"], "frac_coords": [[0.2500, 0.8328, 0.4399], [0.2500, 0.5779, 0.8837], [0.7500, 0.4221, 0.1163], [0.2500, 0.0982, 0.8524], [0.7500, 0.1672, 0.5601], [0.7500, 0.9018, 0.1476], [0.2500, 0.0586, 0.6190], [0.7500, 0.9414, 0.3810], [0.7500, 0.3527, 0.8372], [0.2500, 0.6473, 0.1628], [0.2500, 0.1608, 0.1404], [0.7500, 0.8392, 0.8596]], "sg": "P2_1/m (11)", "raw_formation_energy_ev_per_atom": -0.8502}



(2)
{"formula": "Ca2CeGaN4", "functional": "PBE-GGA", "state": "optimized geometry", "lattice": [[-0.2851, 2.7651, 1.8958], [-4.6934, -0.0434, -3.6282], [-6.2877, -6.2764, 8.2090]], "species": ["N", "N", "N", "N", "N", "N", "N", "N", "Ga", "Ga", "Ce", "Ce", "Ca", "Ca", "Ca", "Ca"], "frac_coords": [[0.2758, 0.5516, 0.1368], [0.4504, 0.9008, 0.7500], [0.2758, 0.5516, 0.3632], [0.7242, 0.4484, 0.6368], [0.7242, 0.4484, 0.8632], [0.0000, 0.0000, 0.5000], [0.5496, 0.0992, 0.2500], [0.0000, 0.0000, 0.0000], [0.1532, 0.3064, 0.2500], [0.8468, 0.6936, 0.7500], [0.8832, 0.7665, 0.2500], [0.1168, 0.2335, 0.7500], [0.6353, 0.2707, 0.4554], [0.3647, 0.7293, 0.9554], [0.6353, 0.2707, 0.0446], [0.3647, 0.7293, 0.5446]], "sg": "Cmcm (63)", "dos_ef_per_ev_atom": 0.559, "raw_formation_energy_ev_per_atom": -0.6783}



(3)
{"formula": "CaCeGaNi", "functional": "PBE-GGA", "state": "optimized geometry", "lattice": [[-2.8684, 3.8832, -1.2850], [-2.9217, 2.1848, 3.4130], [1.1010, 4.5787, 1.6678]], "species": ["Ce", "Ga", "Ca", "Ni"], "frac_coords": [[0.0000, 0.0000, 0.0000], [0.7500, 0.7500, 0.7500], [0.5000, 0.5000, 0.5000], [0.2500, 0.2500, 0.2500]], "formation_enthalpy_0k_ev_per_atom": -0.256, "sg": "F-43m (216)", "dos_ef_per_ev_atom": 1.449}



(4)
{"formula": "CaCeGaO4", "functional": "PBE-GGA", "state": "optimized geometry", "lattice": [[-0.7901, 3.0881, 4.8110], [-3.9517, -4.0529, -1.1244], [3.8017, -4.7205, 3.6543]], "species": ["Ca", "Ca", "O", "O", "O", "O", "O", "O", "O", "O", "Ga", "Ga", "Ce", "Ce"], "frac_coords": [[0.5000, 0.5000, 0.0000], [0.5000, 0.5000, 0.5000], [0.2108, 0.2581, 0.7500], [0.7355, 0.2645, 0.5405], [0.2581, 0.2108, 0.2500], [0.7892, 0.7419, 0.2500], [0.2645, 0.7355, 0.4595], [0.2645, 0.7355, 0.0405], [0.7419, 0.7892, 0.7500], [0.7355, 0.2645, 0.9595], [0.8478, 0.1522, 0.7500], [0.1522, 0.8478, 0.2500], [0.1666, 0.8334, 0.7500], [0.8334, 0.1666, 0.2500]], "sg": "Cmcm (63)", "dos_ef_per_ev_atom": 1.052, "raw_formation_energy_ev_per_atom": -2.6353}



(5)
{"formula": "CaCeGa2Pd2", "functional": "PBE-GGA", "state": "optimized geometry", "lattice": [[-0.2056, -0.9738, -4.3841], [3.8353, -0.6182, 2.2625], [-2.0609, -6.8574, 1.6198]], "species": ["Pd", "Pd", "Ga", "Ga", "Ce", "Ca"], "frac_coords": [[0.3333, 0.6667, 0.7669], [0.6667, 0.3333, 0.2331], [0.6667, 0.3333, 0.7554], [0.3333, 0.6667, 0.2446], [0.0000, 0.0000, 0.0000], [0.0000, 0.0000, 0.5000]], "formation_enthalpy_0k_ev_per_atom": -0.720, "sg": "P-3m1 (164)", "dos_ef_per_ev_atom": 1.289}



(6)
{"formula": "Ca2CeGa3Pt4", "functional": "PBE-GGA", "state": "optimized geometry", "lattice": [[-3.7802, -1.3216, 1.8139], [0.2971, -3.8166, -2.1616], [5.5595, -4.3386, 8.4247]], "species": ["Ce", "Pt", "Pt", "Pt", "Pt", "Ga", "Ga", "Ga", "Ca", "Ca"], "frac_coords": [[0.5000, 0.5000, 0.5000], [0.0000, 0.0000, 0.0000], [0.5000, 0.5000, 0.0000], [0.5000, 0.0000, 0.6545], [0.0000, 0.5000, 0.3455], [0.0000, 0.0000, 0.5000], [0.5000, 0.0000, 0.8813], [0.0000, 0.5000, 0.1187], [0.0000, 0.5000, 0.7822], [0.5000, 0.0000, 0.2178]], "formation_enthalpy_0k_ev_per_atom": -0.853, "sg": "P-4m2 (115)", "dos_ef_per_ev_atom": 0.890}



(7)
{"formula": "CaCeGa5Pt2", "functional": "PBE-GGA", "state": "optimized geometry", "lattice": [[4.8056, 0.0000, 0.0000], [0.0000, 4.8056, 0.0000], [0.0000, 0.0000, 9.3079]], "species": ["Ga", "Ga", "Ga", "Ga", "Ga", "Pt", "Pt", "Ce", "Ca"], "frac_coords": [[0.5000, 0.5000, 0.5000], [0.5000, 0.0000, 0.7892], [0.5000, 0.0000, 0.2108], [0.0000, 0.5000, 0.7892], [0.0000, 0.5000, 0.2108], [0.5000, 0.5000, 0.2465], [0.5000, 0.5000, 0.7535], [0.0000, 0.0000, 0.0000], [0.0000, 0.0000, 0.5000]], "formation_enthalpy_0k_ev_per_atom": -0.371, "sg": "P4/mmm (123)", "dos_ef_per_ev_atom": 0.974}



(8)
{"formula": "CaCe2Ga3Pt4", "functional": "PBE-GGA", "state": "optimized geometry", "lattice": [[4.1708, 0.0000, 0.0000], [0.0000, 4.1708, 0.0000], [0.0000, 0.0000, 11.7834]], "species": ["Pt", "Pt", "Pt", "Pt", "Ga", "Ga", "Ga", "Ce", "Ce", "Ca"], "frac_coords": [[0.0000, 0.5000, 0.3366], [0.5000, 0.5000, 0.0000], [0.0000, 0.0000, 0.0000], [0.5000, 0.0000, 0.6634], [0.0000, 0.5000, 0.1240], [0.5000, 0.0000, 0.8760], [0.0000, 0.0000, 0.5000], [0.0000, 0.5000, 0.7677], [0.5000, 0.0000, 0.2323], [0.5000, 0.5000, 0.5000]], "formation_enthalpy_0k_ev_per_atom": -0.861, "sg": "P-4m2 (115)", "dos_ef_per_ev_atom": 1.439}



(9)
{"formula": "CaCeGa2Rh2", "functional": "PBE-GGA", "state": "optimized geometry", "lattice": [[-2.2829, 1.0408, -3.5555], [3.2202, -2.9156, -0.2581], [-4.9425, -5.5949, 1.5357]], "species": ["Ga", "Ga", "Rh", "Rh", "Ce", "Ca"], "frac_coords": [[0.6667, 0.3333, 0.7489], [0.3333, 0.6667, 0.2511], [0.6667, 0.3333, 0.2870], [0.3333, 0.6667, 0.7130], [0.0000, 0.0000, 0.5000], [0.0000, 0.0000, 0.0000]], "formation_enthalpy_0k_ev_per_atom": -0.698, "sg": "P-3m1 (164)", "dos_ef_per_ev_atom": 0.960}



(10)
{"formula": "CaCeGaRh", "functional": "PBE-GGA", "state": "optimized geometry", "lattice": [[-3.8001, -2.5301, -2.0700], [0.1714, -5.0025, -0.2697], [-3.0289, -2.7703, 2.8771]], "species": ["Ga", "Rh", "Ce", "Ca"], "frac_coords": [[0.2500, 0.2500, 0.2500], [0.7500, 0.7500, 0.7500], [0.0000, 0.0000, 0.0000], [0.5000, 0.5000, 0.5000]], "formation_enthalpy_0k_ev_per_atom": -0.457, "sg": "F-43m (216)", "dos_ef_per_ev_atom": 1.387}



(11)
{"formula": "CaCeGaSi", "functional": "PBE-GGA", "state": "optimized geometry", "lattice": [[5.0891, 0.0000, 0.0000], [2.5445, 4.4073, 0.0000], [2.5445, 1.4691, 4.1552]], "species": ["Ca", "Ga", "Si", "Ce"], "frac_coords": [[0.2500, 0.2500, 0.2500], [0.0000, 0.0000, 0.0000], [0.5000, 0.5000, 0.5000], [0.7500, 0.7500, 0.7500]], "sg": "F-43m (216)", "dos_ef_per_ev_atom": 1.284, "raw_formation_energy_ev_per_atom": -0.4120}



(12)
{"formula": "CaCeGaSn", "functional": "PBE-GGA", "state": "optimized geometry", "lattice": [[5.3217, 0.0000, 0.0000], [2.6608, 4.6087, 0.0000], [2.6608, 1.5362, 4.3451]], "species": ["Sn", "Ce", "Ga", "Ca"], "frac_coords": [[0.2500, 0.2500, 0.2500], [0.5000, 0.5000, 0.5000], [0.7500, 0.7500, 0.7500], [0.0000, 0.0000, 0.0000]], "formation_enthalpy_0k_ev_per_atom": -0.499, "sg": "F-43m (216)", "dos_ef_per_ev_atom": 1.567}